KMgSbPd | GGA-PBE | relaxed

Output
theoretical density: 5.01 g/cm3
relative energy among the computed polymorphs: 74 meV per atom
calculated volume: 24.15 Å³/atom
space-group type: No. 216
electronic total energy: -3.0388 eV/atom

a b c (Å): 5.1501 5.1501 5.1501
angles (deg): 60.00 60.00 60.00
With the nearest neighbours (Å) after each atom.
Fractional positions:
K (0.0000, 0.0000, 0.0000)  4 Sb 3.15, 4 Pd 3.15
Mg (0.5000, 0.5000, 0.5000)  4 Pd 3.15, 4 Sb 3.15
Sb (0.2500, 0.2500, 0.2500)  4 Mg 3.15, 4 K 3.15
Pd (0.7500, 0.7500, 0.7500)  4 K 3.15, 4 Mg 3.15